No. 1
This record from the Alexandria database describes a relaxed K2CuTe crystal. The functional is PBE-GGA.

abc: 5.950 5.950 5.322
angles: 63.42 63.42 53.07
Fractional positions:
K: 0.500 0.500 0.500
K: 0.000 0.000 0.000
Te: 0.750 0.750 0.750
Cu: 0.250 0.250 0.250

Calculated values
Theoretical density ... 3.4 Mg/m³
Final energy ... -10.2 eV for the cell shown
DOS(E_F) ... 1.26 states/eV/cell



No. 2
This record from the Alexandria database describes a relaxed CsLi3I crystal. The functional is PBE-GGA.

abc: 6.641 6.641 6.641
angles: 90.00 90.00 90.00
Site moments in Bohr magnetons follow the coordinates.
Fractional positions:
Cs: 0.000 0.000 0.000  0.05
I: 0.500 0.500 0.500  0.01
Li: 0.000 0.500 0.000  0.01
Li: 0.500 0.000 0.000  0.03
Li: 0.000 0.000 0.500  0.02

Calculated values
Theoretical density ... 1.6 Mg/m³
ΔE to the lowest computed polymorph ... 3.346 eV per formula unit
DOS(E_F) ... 7.23 states/eV/cell



No. 3
This record from the Alexandria database describes a relaxed PmPaSe4 crystal. The functional is PBE-GGA.

abc: 4.327 6.701 6.701
angles: 91.00 90.00 90.00
Site moments in Bohr magnetons follow the coordinates.
Fractional positions:
Pa: 0.000 0.500 0.500  0.13
Se: 0.500 0.313 0.687  -0.01
Se: 0.000 0.793 0.793  0.00
Se: 0.000 0.207 0.207  0.00
Se: 0.500 0.687 0.313  -0.01
Pm: 0.500 0.000 0.000  0.00

Calculated values
Theoretical density ... 5.9 Mg/m³
ΔE to the lowest computed polymorph ... 0.499 eV per formula unit



No. 4
This record from the Alexandria database describes a relaxed Ti3PPd crystal. The functional is PBE-GGA.

abc: 4.491 4.491 4.491
angles: 90.00 90.00 90.00
Fractional positions:
Ti: 0.000 0.000 0.500
Ti: 0.500 0.000 0.000
Ti: 0.000 0.500 0.000
Pd: 0.500 0.500 0.500
P: 0.000 0.000 0.000

Calculated values
Theoretical density ... 5.2 Mg/m³
ΔE to the lowest computed polymorph ... 0.000 eV per formula unit
Formation energy ... -0.251 eV per atom
DOS(E_F) ... 4.26 states/eV/cell



No. 5
This record from the Alexandria database describes a relaxed VAs3W crystal. The functional is PBE-GGA.

abc: 4.884 4.884 4.884
angles: 90.00 90.00 90.00
Site moments in Bohr magnetons follow the coordinates.
Fractional positions:
V: 0.500 0.500 0.500  3.03
W: 0.000 0.000 0.000  0.28
As: 0.500 0.000 0.000  -0.07
As: 0.000 0.500 0.000  -0.07
As: 0.000 0.000 0.500  -0.07

Calculated values
Theoretical density ... 6.6 Mg/m³
ΔE to the lowest computed polymorph ... 0.000 eV per formula unit
Formation energy ... 0.826 eV per atom
DOS(E_F) ... 6.66 states/eV/cell



No. 6
This record from the Alexandria database describes a relaxed HoAl2Co9 crystal. The functional is PBE-GGA.

abc: 4.687 8.039 8.039
angles: 90.00 90.00 90.00
Site moments in Bohr magnetons follow the coordinates.
Fractional positions:
Co: 0.500 0.790 0.068  1.30
Co: 0.500 0.568 0.290  1.30
Co: 0.500 0.068 0.210  1.30
Co: 0.765 0.676 0.824  1.21
Co: 0.235 0.824 0.324  1.21
Co: 0.500 0.000 0.500  1.32
Co: 0.235 0.676 0.824  1.21
Co: 0.765 0.324 0.176  1.21
Co: 0.235 0.324 0.176  1.21
Co: 0.765 0.176 0.676  1.21
Co: 0.500 0.932 0.790  1.30
Co: 0.500 0.500 0.000  1.32
Co: 0.500 0.710 0.568  1.30
Co: 0.500 0.210 0.932  1.30
Co: 0.500 0.432 0.710  1.30
Co: 0.235 0.176 0.676  1.21
Co: 0.765 0.824 0.324  1.21
Co: 0.500 0.290 0.432  1.30
Al: 0.000 0.879 0.621  -0.03
Al: 0.000 0.121 0.379  -0.03
Al: 0.000 0.621 0.121  -0.03
Al: 0.000 0.379 0.879  -0.03
Ho: 0.000 0.000 0.000  -0.31
Ho: 0.000 0.500 0.500  -0.31

Calculated values
Theoretical density ... 8.2 Mg/m³
Formation energy ... -0.249 eV per atom
DOS(E_F) ... 29.11 states/eV/cell



No. 7
This record from the Alexandria database describes a relaxed HgRu2 crystal. The functional is PBE-GGA.

abc: 6.266 6.266 6.266
angles: 90.00 90.00 90.00
Fractional positions:
Ru: 0.102 0.602 0.898
Ru: 0.602 0.602 0.602
Ru: 0.898 0.102 0.602
Ru: 0.398 0.398 0.398
Ru: 0.898 0.398 0.102
Ru: 0.602 0.898 0.102
Ru: 0.398 0.102 0.898
Ru: 0.102 0.898 0.398
Hg: 0.000 0.000 0.000
Hg: 0.500 0.500 0.000
Hg: 0.500 0.000 0.500
Hg: 0.000 0.500 0.500

Calculated values
Theoretical density ... 10.9 Mg/m³
ΔE to the lowest computed polymorph ... 3.503 eV per formula unit
Formation energy ... 1.479 eV per atom
DOS(E_F) ... 19.75 states/eV/cell



No. 8
This record from the Alexandria database describes a relaxed Ce4ThSc crystal. The functional is PBE-GGA.

abc: 3.465 9.262 8.441
angles: 86.70 99.23 142.16
Fractional positions:
Ce: 0.646 0.101 0.155
Ce: 0.987 0.550 0.156
Ce: 0.013 0.450 0.844
Ce: 0.354 0.899 0.845
Sc: 0.500 0.500 0.500
Th: 0.000 0.000 0.500

Calculated values
Theoretical density ... 8.5 Mg/m³
ΔE to the lowest computed polymorph ... 0.000 eV per formula unit
Formation energy ... 0.065 eV per atom
DOS(E_F) ... 15.93 states/eV/cell



No. 9
This record from the Alexandria database describes a relaxed CeInAg2 crystal. The functional is PBE-GGA.

abc: 4.188 4.793 4.793
angles: 90.00 90.00 90.00
Site moments in Bohr magnetons follow the coordinates.
Fractional positions:
Ag: 0.000 0.500 0.000  0.02
Ag: 0.000 0.000 0.500  0.02
Ce: 0.500 0.500 0.500  0.90
In: 0.500 0.000 0.000  0.02

Calculated values
Theoretical density ... 8.1 Mg/m³
ΔE to the lowest computed polymorph ... 0.816 eV per formula unit
Formation energy ... -0.059 eV per atom
DOS(E_F) ... 9.00 states/eV/cell



No. 10
This record from the Alexandria database describes a relaxed HgPOsS2 crystal. The functional is PBE-GGA.

abc: 4.801 4.801 4.514
angles: 90.00 90.00 90.00
Fractional positions:
Hg: 0.500 0.500 0.500
S: 0.000 0.500 0.000
S: 0.500 0.000 0.000
Os: 0.000 0.000 0.000
P: 0.000 0.000 0.500

Calculated values
Theoretical density ... 7.8 Mg/m³
ΔE to the lowest computed polymorph ... 0.000 eV per formula unit
DOS(E_F) ... 6.14 states/eV/cell



No. 11
This record from the Alexandria database describes a relaxed Ce3Pm2Sn2 crystal. The functional is PBE-GGA.

abc: 4.117 4.957 10.875
angles: 101.75 100.91 90.00
Site moments in Bohr magnetons follow the coordinates.
Fractional positions:
Pm: 0.891 0.885 0.783  0.07
Pm: 0.109 0.115 0.217  0.07
Ce: 0.747 0.184 0.495  0.37
Ce: 0.253 0.816 0.505  0.37
Ce: 0.000 0.500 0.000  0.97
Sn: 0.370 0.372 0.740  -0.01
Sn: 0.630 0.628 0.260  -0.01

Calculated values
Theoretical density ... 7.4 Mg/m³
Formation energy ... -0.316 eV per atom
DOS(E_F) ... 17.54 states/eV/cell



No. 12
This record from the Alexandria database describes a relaxed V8ZnH6 crystal. The functional is PBE-GGA.

abc: 2.589 7.772 7.772
angles: 120.00 90.00 90.00
Fractional positions:
V: 0.876 0.667 0.333
V: 0.790 0.662 0.978
V: 0.124 0.333 0.667
V: 0.210 0.338 0.022
V: 0.790 0.316 0.338
V: 0.210 0.684 0.662
V: 0.210 0.978 0.316
V: 0.790 0.022 0.684
H: 0.294 0.832 0.535
H: 0.294 0.703 0.168
H: 0.294 0.465 0.297
H: 0.706 0.535 0.703
H: 0.706 0.297 0.832
H: 0.706 0.168 0.465
Zn: 0.500 0.000 0.000

Calculated values
Theoretical density ... 5.9 Mg/m³
Final energy ... -95.8 eV for the cell shown
DOS(E_F) ... 7.03 states/eV/cell



No. 13
This record from the Alexandria database describes a relaxed LiYCrFe2 crystal. The functional is PBE-GGA.

abc: 4.223 4.997 4.223
angles: 90.00 90.00 90.00
Site moments in Bohr magnetons follow the coordinates.
Fractional positions:
Fe: 0.000 0.000 0.500  1.71
Fe: 0.500 0.000 0.000  1.32
Y: 0.000 0.500 0.000  -0.13
Cr: 0.000 0.000 0.000  -0.63
Li: 0.500 0.500 0.500  -0.03

Calculated values
Theoretical density ... 4.8 Mg/m³
Formation energy ... 0.841 eV per atom
DOS(E_F) ... 5.14 states/eV/cell



No. 14
This record from the Alexandria database describes a relaxed Na6TlPb3 crystal. The functional is PBE-GGA.

abc: 6.083 10.631 10.631
angles: 118.94 90.00 90.00
Fractional positions:
Na: 0.885 0.459 0.049
Na: 0.030 0.702 0.619
Na: 0.385 0.541 0.951
Na: 0.660 0.265 0.735
Na: 0.160 0.735 0.265
Na: 0.885 0.951 0.541
Na: 0.374 0.952 0.048
Na: 0.530 0.298 0.381
Na: 0.030 0.381 0.298
Na: 0.530 0.619 0.702
Na: 0.874 0.048 0.952
Na: 0.385 0.049 0.459
Pb: 0.945 0.075 0.301
Pb: 0.945 0.699 0.925
Pb: 0.445 0.301 0.075
Pb: 0.072 0.380 0.620
Pb: 0.445 0.925 0.699
Pb: 0.572 0.620 0.380
Tl: 0.660 0.794 0.206
Tl: 0.160 0.206 0.794

Calculated values
Theoretical density ... 5.3 Mg/m³
ΔE to the lowest computed polymorph ... 0.000 eV per formula unit
Formation energy ... -0.088 eV per atom
DOS(E_F) ... 8.46 states/eV/cell



No. 15
This record from the Alexandria database describes a relaxed LiCdSb2Te crystal. The functional is PBE-GGA.

abc: 5.033 5.033 5.278
angles: 90.00 90.00 90.00
Fractional positions:
Sb: 0.000 0.500 0.000
Sb: 0.500 0.000 0.000
Li: 0.000 0.000 0.000
Cd: 0.500 0.500 0.500
Te: 0.000 0.000 0.500

Calculated values
Theoretical density ... 6.1 Mg/m³
ΔE to the lowest computed polymorph ... 0.000 eV per formula unit
DOS(E_F) ... 3.07 states/eV/cell



No. 16
This record from the Alexandria database describes a relaxed Li5Mg2Zn crystal. The functional is PBE-GGA.

abc: 3.292 7.324 12.693
angles: 90.00 90.00 90.00
Fractional positions:
Li: 0.000 0.500 0.500
Li: 0.000 0.497 0.742
Li: 0.500 0.226 0.380
Li: 0.000 0.003 0.242
Li: 0.000 0.997 0.758
Li: 0.500 0.274 0.880
Li: 0.000 0.000 0.000
Li: 0.500 0.726 0.120
Li: 0.500 0.774 0.620
Li: 0.000 0.503 0.258
Mg: 0.500 0.271 0.121
Mg: 0.500 0.229 0.621
Mg: 0.500 0.771 0.379
Mg: 0.500 0.729 0.879
Zn: 0.000 0.000 0.500
Zn: 0.000 0.500 0.000

Calculated values
Theoretical density ... 1.6 Mg/m³
ΔE to the lowest computed polymorph ... 0.063 eV per formula unit
Formation energy ... -0.065 eV per atom
DOS(E_F) ... 6.96 states/eV/cell



No. 17
This record from the Alexandria database describes a relaxed ScAg4Sb2 crystal. The functional is PBE-GGA.

abc: 5.134 5.134 8.062
angles: 71.43 71.43 90.00
Fractional positions:
Sc: 0.000 0.000 0.000
Ag: 0.805 0.805 0.389
Ag: 0.500 0.000 0.000
Ag: 0.000 0.500 0.000
Ag: 0.195 0.195 0.611
Sb: 0.386 0.386 0.228
Sb: 0.614 0.614 0.772

Calculated values
Theoretical density ... 6.3 Mg/m³
Final energy ... -22.3 eV for the cell shown
DOS(E_F) ... 4.47 states/eV/cell